Record 1
## Ho3TmRu8 (PBE)

Data for a geometry-optimized Ho3TmRu8 structure.

The space group is R3m (No. 160, hexagonal axes) and the conventional cell measures 5.3080, 5.3080 and 26.1545 Å, with angles of 90.00, 90.00 and 120.00 degrees. The distinct sites, in fractional coordinates, are Ho at (0.0000, 0.0000, 0.0000), Ho at (0.0000, 0.0000, 0.1250), Ho at (0.0000, 0.0000, 0.6249), Tm at (0.0000, 0.0000, 0.5001), Ru at (0.0000, 0.0000, 0.3126), Ru at (0.0000, 0.0000, 0.8126), Ru at (0.0005, 0.5003, 0.0628) and Ru at (0.1670, 0.3340, 0.8955).

Its electronic total energy is -8.024 eV/atom.

***

Record 2
## Ho2TmRu2 (PBE)

Data for a geometry-optimized Ho2TmRu2 structure.

The space group is Cmmm (No. 65) and the conventional cell measures 3.375, 20.208 and 3.354 Å, with angles of 90.00, 90.00 and 90.00 degrees. The distinct sites, in fractional coordinates, are Ho at (0.000, 0.165, 0.000), Tm at (0.000, 0.000, 0.000) and Ru at (0.000, 0.413, 0.500).

The energy above the most stable polymorph in this dataset comes out at 0 meV/atom. Its electronic total energy is -6.807 eV/atom.

***

no.,M_tot (μB/f.u.),calculated formation energy (eV/atom)
1,0.0,-0.32
2,0.0,-0.37